Computed, not measured: BiIr after structural relaxation at the GGA-PBE level of DFT.

Structure (CIF):
```
data_BiIr
_chemical_formula_sum 'Bi4 Ir4'
_cell_length_a 6.1275
_cell_length_b 6.1275
_cell_length_c 6.1275
_cell_angle_alpha 90.00
_cell_angle_beta 90.00
_cell_angle_gamma 90.00
_space_group_name_H-M_alt 'P 1'
_space_group_IT_number 1
loop_
_space_group_symop_operation_xyz
'x,y,z'
loop_
_atom_site_label
_atom_site_type_symbol
_atom_site_fract_x
_atom_site_fract_y
_atom_site_fract_z
_atom_site_occupancy
Ir1 Ir 0.7500 0.7500 0.2500 1
Ir2 Ir 0.2500 0.2500 0.2500 1
Ir3 Ir 0.2500 0.7500 0.7500 1
Ir4 Ir 0.7500 0.2500 0.7500 1
Bi1 Bi 0.0000 0.5000 0.5000 1
Bi2 Bi 0.5000 0.5000 0.0000 1
Bi3 Bi 0.5000 0.0000 0.5000 1
Bi4 Bi 0.0000 0.0000 0.0000 1
```

Results
The value obtained for the formation enthalpy at 0 K is 628 meV/atom. The magnetic moment is 0.0000 μB/atom. The raw total energy is -0.422 Ry/atom.

Computed, not measured: GdAl2Os after structural relaxation at the GGA-PBE level of DFT.

Structure (CIF):
```
data_GdAl2Os
_chemical_formula_sum 'Gd1 Al2 Os1'
_cell_length_a 3.1510
_cell_length_b 3.1510
_cell_length_c 7.3198
_cell_angle_alpha 90.00
_cell_angle_beta 90.00
_cell_angle_gamma 90.00
_space_group_name_H-M_alt 'P 1'
_space_group_IT_number 1
loop_
_space_group_symop_operation_xyz
'x,y,z'
loop_
_atom_site_label
_atom_site_type_symbol
_atom_site_fract_x
_atom_site_fract_y
_atom_site_fract_z
_atom_site_occupancy
Al1 Al 0.0000 0.0000 0.1859 1
Al2 Al 0.0000 0.0000 0.8141 1
Gd1 Gd 0.5000 0.5000 0.5000 1
Os1 Os 0.5000 0.5000 0.0000 1
```

Results
For the energy above the most stable polymorph in this dataset, the calculation gives 0 meV/atom. The value obtained for the formation enthalpy at 0 K is -393 meV/atom. The magnetic moment is 1.8183 μB/atom. The raw total energy is -0.632 Ry/atom.

Computed, not measured: CuIr4Os after structural relaxation at the GGA-PBE level of DFT.

Structure (CIF):
```
data_CuIr4Os
_chemical_formula_sum 'Cu1 Ir4 Os1'
_cell_length_a 5.1075
_cell_length_b 5.1075
_cell_length_c 5.1075
_cell_angle_alpha 60.00
_cell_angle_beta 60.00
_cell_angle_gamma 60.00
_space_group_name_H-M_alt 'P 1'
_space_group_IT_number 1
loop_
_space_group_symop_operation_xyz
'x,y,z'
loop_
_atom_site_label
_atom_site_type_symbol
_atom_site_fract_x
_atom_site_fract_y
_atom_site_fract_z
_atom_site_occupancy
Cu1 Cu 0.0000 0.0000 0.0000 1
Os1 Os 0.7500 0.7500 0.7500 1
Ir1 Ir 0.3748 0.8756 0.3748 1
Ir2 Ir 0.3748 0.3748 0.8756 1
Ir3 Ir 0.8756 0.3748 0.3748 1
Ir4 Ir 0.3748 0.3748 0.3748 1
```

Results
The value obtained for the formation enthalpy at 0 K is 772 meV/atom. The magnetic moment is 0.2531 μB/atom. The raw total energy is -0.565 Ry/atom.

Computed, not measured: Ta3NbFe after structural relaxation at the GGA-PBE level of DFT.

Structure (CIF):
```
data_Ta3NbFe
_chemical_formula_sum 'Ta6 Nb2 Fe2'
_cell_length_a 2.8973
_cell_length_b 9.6336
_cell_length_c 9.2988
_cell_angle_alpha 128.65
_cell_angle_beta 86.98
_cell_angle_gamma 66.89
_space_group_name_H-M_alt 'P 1'
_space_group_IT_number 1
loop_
_space_group_symop_operation_xyz
'x,y,z'
loop_
_atom_site_label
_atom_site_type_symbol
_atom_site_fract_x
_atom_site_fract_y
_atom_site_fract_z
_atom_site_occupancy
Ta1 Ta 0.7146 0.5402 0.9007 1
Ta2 Ta 0.3391 0.3744 0.5296 1
Ta3 Ta 0.2854 0.4598 0.0993 1
Ta4 Ta 0.4389 0.0533 0.7659 1
Ta5 Ta 0.5611 0.9467 0.2341 1
Ta6 Ta 0.6609 0.6256 0.4704 1
Fe1 Fe 0.1275 0.8225 0.3863 1
Fe2 Fe 0.8725 0.1775 0.6137 1
Nb1 Nb 0.0893 0.7983 0.8443 1
Nb2 Nb 0.9107 0.2017 0.1557 1
```

Results
For the energy above the most stable polymorph in this dataset, the calculation gives 0 meV/atom. The value obtained for the formation enthalpy at 0 K is 49 meV/atom. The magnetic moment is 0.1941 μB/atom. The raw total energy is -0.791 Ry/atom.

Computed, not measured: Co5Te after structural relaxation at the GGA-PBE level of DFT.

Structure (CIF):
```
data_Co5Te
_chemical_formula_sum 'Co5 Te1'
_cell_length_a 5.8621
_cell_length_b 5.8621
_cell_length_c 3.6559
_cell_angle_alpha 90.00
_cell_angle_beta 90.00
_cell_angle_gamma 143.81
_space_group_name_H-M_alt 'P 1'
_space_group_IT_number 1
loop_
_space_group_symop_operation_xyz
'x,y,z'
loop_
_atom_site_label
_atom_site_type_symbol
_atom_site_fract_x
_atom_site_fract_y
_atom_site_fract_z
_atom_site_occupancy
Co1 Co 0.8212 0.1788 0.0000 1
Co2 Co 0.0000 0.0000 0.5000 1
Co3 Co 0.3213 0.6787 0.5000 1
Co4 Co 0.1788 0.8212 0.0000 1
Co5 Co 0.6787 0.3213 0.5000 1
Te1 Te 0.5000 0.5000 0.0000 1
```

Results
As for the formation energy from raw total energies: 0.136 eV per atom. For the energy above the most stable polymorph in this dataset, the calculation gives 0 meV/atom. The magnetic moment is 1.0671 μB/atom. The raw total energy is -0.464 Ry/atom.

Computed, not measured: CaRhCl after structural relaxation at the GGA-PBE level of DFT.

Structure (CIF):
```
data_CaRhCl
_chemical_formula_sum 'Ca4 Rh4 Cl4'
_cell_length_a 5.8106
_cell_length_b 5.4521
_cell_length_c 7.7676
_cell_angle_alpha 90.00
_cell_angle_beta 90.00
_cell_angle_gamma 90.00
_space_group_name_H-M_alt 'P 1'
_space_group_IT_number 1
loop_
_space_group_symop_operation_xyz
'x,y,z'
loop_
_atom_site_label
_atom_site_type_symbol
_atom_site_fract_x
_atom_site_fract_y
_atom_site_fract_z
_atom_site_occupancy
Rh1 Rh 0.4641 0.7500 0.7569 1
Rh2 Rh 0.5359 0.2500 0.2431 1
Rh3 Rh 0.0359 0.2500 0.2569 1
Rh4 Rh 0.9641 0.7500 0.7431 1
Cl1 Cl 0.7056 0.7500 0.5105 1
Cl2 Cl 0.7944 0.2500 0.0105 1
Cl3 Cl 0.2056 0.7500 0.9895 1
Cl4 Cl 0.2944 0.2500 0.4895 1
Ca1 Ca 0.2848 0.2500 0.9166 1
Ca2 Ca 0.2152 0.7500 0.4166 1
Ca3 Ca 0.7152 0.7500 0.0834 1
Ca4 Ca 0.7848 0.2500 0.5834 1
```

Results
As for the formation energy from raw total energies: -0.722 eV per atom. For the energy above the most stable polymorph in this dataset, the calculation gives 454 meV/atom. The magnetic moment is 0.0000 μB/atom. The raw total energy is -0.327 Ry/atom.

Computed, not measured: BaH2O after structural relaxation at the GGA-PBE level of DFT.

Structure (CIF):
```
data_BaH2O
_chemical_formula_sum 'Ba2 H4 O2'
_cell_length_a 3.7223
_cell_length_b 3.7223
_cell_length_c 9.7217
_cell_angle_alpha 78.96
_cell_angle_beta 78.96
_cell_angle_gamma 90.00
_space_group_name_H-M_alt 'P 1'
_space_group_IT_number 1
loop_
_space_group_symop_operation_xyz
'x,y,z'
loop_
_atom_site_label
_atom_site_type_symbol
_atom_site_fract_x
_atom_site_fract_y
_atom_site_fract_z
_atom_site_occupancy
O1 O 0.2500 0.7500 0.5000 1
O2 O 0.5000 0.5000 0.0000 1
H1 H 0.3750 0.6250 0.7500 1
H2 H 0.3750 0.1250 0.2500 1
H3 H 0.8750 0.6250 0.7500 1
H4 H 0.3750 0.6250 0.2500 1
Ba1 Ba 0.7500 0.2500 0.5000 1
Ba2 Ba 0.0000 0.0000 0.0000 1
```

Results
For the energy above the most stable polymorph in this dataset, the calculation gives 991 meV/atom. The magnetic moment is 0.1019 μB/atom. The raw total energy is -0.274 Ry/atom.

Computed, not measured: Sr2YTcRh after structural relaxation at the GGA-PBE level of DFT.

Structure (CIF):
```
data_Sr2YTcRh
_chemical_formula_sum 'Sr2 Y1 Tc1 Rh1'
_cell_length_a 6.1937
_cell_length_b 4.5865
_cell_length_c 6.1937
_cell_angle_alpha 90.00
_cell_angle_beta 90.00
_cell_angle_gamma 90.00
_space_group_name_H-M_alt 'P 1'
_space_group_IT_number 1
loop_
_space_group_symop_operation_xyz
'x,y,z'
loop_
_atom_site_label
_atom_site_type_symbol
_atom_site_fract_x
_atom_site_fract_y
_atom_site_fract_z
_atom_site_occupancy
Sr1 Sr 0.5000 0.0000 0.0000 1
Sr2 Sr 0.0000 0.0000 0.5000 1
Rh1 Rh 0.5000 0.5000 0.5000 1
Tc1 Tc 0.0000 0.5000 0.0000 1
Y1 Y 0.0000 0.0000 0.0000 1
```

Results
The value obtained for the formation enthalpy at 0 K is 1454 meV/atom. The magnetic moment is 0.1466 μB/atom. The raw total energy is -0.298 Ry/atom.

Computed, not measured: LiYSb2 after structural relaxation at the GGA-PBE level of DFT.

Structure (CIF):
```
data_LiYSb2
_chemical_formula_sum 'Li2 Y2 Sb4'
_cell_length_a 4.2746
_cell_length_b 4.2746
_cell_length_c 10.7599
_cell_angle_alpha 90.00
_cell_angle_beta 90.00
_cell_angle_gamma 90.00
_space_group_name_H-M_alt 'P 1'
_space_group_IT_number 1
loop_
_space_group_symop_operation_xyz
'x,y,z'
loop_
_atom_site_label
_atom_site_type_symbol
_atom_site_fract_x
_atom_site_fract_y
_atom_site_fract_z
_atom_site_occupancy
Sb1 Sb 0.5000 0.0000 0.1690 1
Sb2 Sb 0.5000 0.5000 0.5000 1
Sb3 Sb 0.0000 0.0000 0.5000 1
Sb4 Sb 0.0000 0.5000 0.8310 1
Li1 Li 0.5000 0.5000 0.0000 1
Li2 Li 0.0000 0.0000 0.0000 1
Y1 Y 0.5000 0.0000 0.7317 1
Y2 Y 0.0000 0.5000 0.2683 1
```

Results
As for the formation energy from raw total energies: -0.799 eV per atom. For the energy above the most stable polymorph in this dataset, the calculation gives 0 meV/atom. The magnetic moment is 0.0000 μB/atom. The raw total energy is -0.364 Ry/atom.